Model w:
{
  "formula": "VHgPO2",
  "functional": "GGA+U",
  "state": "relaxed",
  "lattice_angstrom": [[-0.005, 2.701, 3.123], [-0.455, -3.105, 2.684], [5.159, -0.428, 0.378]],
  "species": ["Hg", "V", "O", "O", "P"],
  "fractional_positions": [[0.000, 0.000, 0.000], [0.500, 0.500, 0.500], [0.000, 0.500, 0.000], [0.500, 0.000, 0.000], [0.000, 0.000, 0.500]],
  "space_group": "No. 123"
}

---

Model x:
{
  "formula": "VHgPO2",
  "functional": "GGA+U",
  "state": "relaxed",
  "lattice_angstrom": [[-0.886, 1.278, 3.390], [0.404, -3.433, 1.400], [5.094, 0.990, 0.959]],
  "species": ["Hg", "V", "O", "O", "P"],
  "fractional_positions": [[0.500, 0.500, 0.500], [0.000, 0.000, 0.000], [0.500, 0.000, 0.000], [0.000, 0.500, 0.000], [0.000, 0.000, 0.500]],
  "space_group": "No. 123"
}

---

Stability ranking, top and bottom: model x is the most stable and model w is the least stable.

---

Model w:
{
  "formula": "VHgP2O",
  "functional": "GGA+U",
  "state": "relaxed",
  "lattice_angstrom": [[4.963, 0.000, 0.000], [0.000, 4.963, 0.000], [0.000, 0.000, 4.048]],
  "species": ["V", "O", "P", "P", "Hg"],
  "fractional_positions": [[0.500, 0.500, 0.500], [0.000, 0.000, 0.500], [0.000, 0.500, 0.000], [0.500, 0.000, 0.000], [0.000, 0.000, 0.000]],
  "space_group": "No. 123"
}

---

Model x:
{
  "formula": "VHgP2O",
  "functional": "GGA+U",
  "state": "relaxed",
  "lattice_angstrom": [[4.816, 0.000, 0.000], [0.000, 4.816, 0.000], [0.000, 0.000, 3.651]],
  "species": ["V", "P", "P", "O", "Hg"],
  "fractional_positions": [[0.000, 0.000, 0.000], [0.500, 0.000, 0.000], [0.000, 0.500, 0.000], [0.000, 0.000, 0.500], [0.500, 0.500, 0.500]],
  "space_group": "No. 123"
}

---

Stability ranking, top and bottom: model x is the most stable and model w is the least stable.